# YV2AgO8

A relaxed YV2AgO8 crystal (PBE+U, Alexandria).

a b c (Å): 5.8687 5.8687 6.1752
angles (deg): 90.00 90.00 120.00
Last column: nearest neighbours and their distance in Å.
Positions (direct):
1 O 0.8351 0.6702 0.2490  1 V 1.79
2 V 0.3333 0.6667 0.6646  4 O 1.64-1.79
3 O 0.3333 0.6667 0.3998  1 V 1.64
4 Y 0.0000 0.0000 0.0000  6 O 2.27
5 Ag 0.0000 0.0000 0.5000  6 O 2.28
6 O 0.6702 0.8351 0.7510  1 V 1.79
7 O 0.1649 0.3298 0.7510  1 V 1.79
8 O 0.6667 0.3333 0.6002  1 V 1.64
9 O 0.3298 0.1649 0.2490  1 V 1.79
10 O 0.8351 0.1649 0.2490  1 V 1.79
11 O 0.1649 0.8351 0.7510  1 V 1.79
12 V 0.6667 0.3333 0.3354  4 O 1.64-1.79

Results
SG ... P-3m1, No. 164
DFT total energy ... -7.05 eV/atom
Fermi-level density of states ... 1.08 states/eV/f.u.
Crystal system ... trigonal